A plane-wave DFT calculation with PBE was carried out for LaBeFeAs after structural relaxation.

Geometry as POSCAR:
```
LaBeFeAs
1.0
0.000 3.344 3.344
3.344 0.000 3.344
3.344 3.344 0.000
La Be Fe As
1 1 1 1
direct
0.000 0.000 0.000 La
0.500 0.500 0.500 Be
0.250 0.250 0.250 Fe
0.750 0.750 0.750 As
```

## Properties
Space-group type ... F-43m
Excess energy over the best structure of this formula in the dataset ... 145.6 meV/atom
Calculated total energy ... -20.53 eV for the cell shown